The following is a PBE with a Hubbard U calculation of an optimized crystal structure of KCoNi2F8, from Alexandria.

Lattice parameters (Å, degrees): 4.9136 4.9185 6.5938 90.27 90.32 87.56
Fractional positions:
Ni  0.4996  0.4996  0.2466
Ni  0.5004  0.5004  0.7534
F  0.2045  0.7935  0.8044
F  0.7055  0.7045  0.0003
F  0.6655  0.6635  0.5012
F  0.7955  0.2065  0.1956
F  0.7923  0.2034  0.8041
F  0.3345  0.3365  0.4988
F  0.2077  0.7966  0.1959
F  0.2945  0.2955  0.9997
Co  0.0000  0.0000  0.0000
K  0.0000  0.0000  0.5000

Output
As for the space-group type: No. 2. The calculated total energy is -0.158 hartree per atom.